(1)
Entry from Alexandria: an optimized crystal structure of InCuSi (PBE).

Cell lengths 6.3273, 6.2861, 3.9715 Å; angles 108.43, 71.82, 65.84 degrees
Last column: nearest neighbours and their distance in Å.
Positions (direct):
Si1 0.9669 0.0982 0.9739  4 Cu 2.43-2.44, 1 Si 2.55
Si2 0.9208 0.6982 0.7971  3 Cu 2.34-2.38, 1 Si 2.55
Cu1 0.8441 0.9533 0.4624  4 Si 2.38-2.44, 1 Cu 2.44
Cu2 0.8041 0.3838 0.6973  3 Si 2.34-2.44, 1 Cu 2.44
In1 0.5147 0.7605 0.5302  3 Si 2.72-3.00, 3 Cu 2.76-2.79
In2 0.3244 0.3985 0.9474  3 Cu 2.73-2.92, 2 Si 2.85

Its density of states at the Fermi level is 1.664 states/eV/cell. The calculation puts the uncorrected formation energy at 0.1194 eV per atom. The calculation puts the mass density at 5.8 Mg/m³. The space-group type is P1 (1). The volume comes out at 19.6 A^3/atom.


(2)
Entry from Alexandria: an optimized crystal structure of CoRh2 (PBE).

Cell lengths 4.2370, 4.2370, 5.2491 Å; angles 90.00, 90.00, 120.00 degrees
Last column: nearest neighbours and their distance in Å.
Positions (direct):
Co1 0.6667 0.3333 0.7499  5 Rh 2.45-2.62
Co2 0.3333 0.6667 0.2501  5 Rh 2.45-2.62
Rh1 0.0000 0.0000 0.0000  8 Rh 2.62-2.78, 6 Co 2.78
Rh2 0.6667 0.3333 0.2499  5 Co 2.45-2.62
Rh3 0.0000 0.0000 0.5000  8 Rh 2.62-2.78, 6 Co 2.78
Rh4 0.3333 0.6667 0.7501  5 Co 2.45-2.62

Its density of states at the Fermi level is 8.529 states/eV/cell. The calculation puts the mass density at 10.8 Mg/m³. The formation energy is 0.142 eV/atom. The space-group type is P6_3/mmc (194). The volume comes out at 13.6 A^3/atom.


(3)
Entry from Alexandria: an optimized crystal structure of HfTl3C (PBE).

Cell lengths 5.6883, 5.6883, 5.6883 Å; angles 90.00, 90.00, 90.00 degrees
Last column: nearest neighbours and their distance in Å.
Positions (direct):
Tl1 0.0000 0.5000 0.0000  2 Hf 2.84
Tl2 0.0000 0.0000 0.5000  2 Hf 2.84
Tl3 0.5000 0.0000 0.0000  2 Hf 2.84
Hf1 0.0000 0.0000 0.0000  6 Tl 2.84
C1 0.5000 0.5000 0.5000  12 Tl 4.02

Its density of states at the Fermi level is 4.331 states/eV/cell. The calculation puts the mass density at 7.3 Mg/m³. The formation energy is 1.875 eV/atom. Its energy above the most stable polymorph in this dataset is 0.547 eV per atom. The space-group type is Pm-3m (221). The volume comes out at 36.8 A^3/atom.


(4)
Entry from Alexandria: an optimized crystal structure of MnHPt2Au (PBE).

Cell lengths 4.0427, 4.0427, 4.1238 Å; angles 90.00, 90.00, 90.00 degrees
Last column: nearest neighbours and their distance in Å.
Positions (direct):
H1 0.0000 0.0000 0.0000  4 Pt 2.02, 2 Au 2.06
Mn1 0.5000 0.5000 0.5000  4 Au 2.86, 8 Pt 2.89
Au1 0.0000 0.0000 0.5000  2 H 2.06
Pt1 0.0000 0.5000 0.0000  2 H 2.02
Pt2 0.5000 0.0000 0.0000  2 H 2.02

Its density of states at the Fermi level is 0.877 states/eV/cell. The calculation puts the mass density at 15.8 Mg/m³. Its energy above the most stable polymorph in this dataset is 0.069 eV per atom. The space-group type is P4/mmm (123). The volume comes out at 13.5 A^3/atom.


(5)
Entry from Alexandria: an optimized crystal structure of K2SrCa (PBE).

Cell lengths 4.1646, 4.1646, 13.3859 Å; angles 90.00, 90.00, 90.00 degrees
Last column: nearest neighbours and their distance in Å.
Positions (direct):
Sr1 0.0000 0.0000 0.5244  4 Ca 4.09, 4 Sr 4.16
Ca1 0.5000 0.5000 0.7361  4 Sr 4.09, 4 Ca 4.16, 4 K 4.38
K1 0.0000 0.0000 0.9781  4 K 4.16, 4 Ca 4.38
K2 0.5000 0.5000 0.2614  4 K 4.16, 4 Sr 4.59

Its density of states at the Fermi level is 4.078 states/eV/cell. The calculation puts the mass density at 1.5 Mg/m³. The formation energy is 0.085 eV/atom. The space-group type is P4mm (99). The volume comes out at 58.0 A^3/atom.


(6)
Entry from Alexandria: an optimized crystal structure of RbMgRu3 (PBE).

Cell lengths 4.8916, 4.8916, 4.8916 Å; angles 90.00, 90.00, 90.00 degrees
Last column: nearest neighbours and their distance in Å.
Positions (direct):
Ru1 0.0000 0.5000 0.0000  2 Mg 2.45
Ru2 0.0000 0.0000 0.5000  2 Mg 2.45
Ru3 0.5000 0.0000 0.0000  2 Mg 2.45
Mg1 0.0000 0.0000 0.0000  6 Ru 2.45
Rb1 0.5000 0.5000 0.5000  12 Ru 3.46

Its density of states at the Fermi level is 9.305 states/eV/cell. The calculation puts the mass density at 5.9 Mg/m³. The formation energy is 1.886 eV/atom. Its energy above the most stable polymorph in this dataset is 0.000 eV per atom. The space-group type is Pm-3m (221). The volume comes out at 23.4 A^3/atom.


Q: Which formula does entry 6 have?
A: RbMgRu3